(1)
First-principles (PBE) data for a relaxed structure of La2PrGe4Ir2Pd2, as listed in OQMD via LeMat-Bulk.

POSCAR file:
```
La2PrGe4Ir2Pd2
1.0
1.762 0.427 12.922
4.139 5.654 11.008
-5.671 -1.760 -11.620
Ge Pd Ir La Pr
4 2 2 2 1
Cartesian
3.242 3.340 13.145
2.660 2.740 10.785
0.387 3.134 4.367
-0.156 1.186 7.943
4.431 4.566 17.968
1.470 1.515 5.962
-0.188 2.542 2.037
0.419 1.779 10.274
1.336 4.112 8.216
-1.105 0.208 4.095
0.000 0.000 0.000
```

## Properties
- Offset from the most stable computed form: 0.0576 eV/atom
- SG: Immm (71)

(2)
First-principles (PBE) data for a relaxed structure of KCdPO, as listed in OQMD via LeMat-Bulk.

POSCAR file:
```
KCdPO
1.0
-4.198 0.237 0.935
0.770 -1.692 3.886
1.511 10.294 4.183
P O Cd K
2 2 2 2
Cartesian
0.831 2.197 3.179
-1.035 7.370 3.414
-1.714 -0.728 2.410
0.000 0.000 0.000
-0.689 9.724 4.370
0.486 -0.158 2.223
0.756 5.147 2.091
-0.959 4.419 4.501
```

## Properties
- Offset from the most stable computed form: 0.6448 eV/atom
- SG: P4/nmm (129)

(3)
First-principles (PBE) data for a relaxed structure of BaHoSn, as listed in OQMD via LeMat-Bulk.

POSCAR file:
```
BaHoSn
1.0
-1.672 3.558 3.876
-2.326 4.788 -1.466
-5.393 0.823 0.850
Ba Ho Sn
1 1 1
Cartesian
0.000 0.000 0.000
-2.348 2.292 0.815
-7.043 6.877 2.445
```

## Properties
- SG: F-43m (216)

(4)
First-principles (PBE) data for a relaxed structure of Na2GePt3, as listed in OQMD via LeMat-Bulk.

POSCAR file:
```
Na2GePt3
1.0
-1.180 2.376 4.409
0.096 -2.998 4.181
3.974 0.809 3.167
Pt Na Ge
3 2 1
Cartesian
0.048 -1.499 2.090
1.987 0.404 1.583
-0.590 1.188 2.204
1.097 0.071 4.461
1.793 0.116 7.296
0.000 0.000 0.000
```

## Properties
- SG: R-3m (166)

(5)
First-principles (PBE) data for a relaxed structure of Ho2TmIn3Ag3, as listed in OQMD via LeMat-Bulk.

POSCAR file:
```
Ho2TmIn3Ag3
1.0
-1.749 3.447 -0.339
-3.767 -2.538 -6.367
-3.215 -0.937 7.069
Ag Tm In Ho
3 1 3 2
Cartesian
-4.455 -0.278 -2.045
-4.272 0.253 2.407
-0.006 -0.003 0.001
-2.817 -1.402 0.283
-6.005 -0.829 0.346
-1.875 1.050 -1.860
-1.728 1.475 1.707
-5.461 -2.450 3.271
-5.684 -3.096 -2.152
```

## Properties
- SG: Amm2 (38)

(6)
First-principles (PBE) data for a relaxed structure of LuInCuTc, as listed in OQMD via LeMat-Bulk.

POSCAR file:
```
LuInCuTc
1.0
2.912 -3.395 1.366
-1.706 -4.132 1.375
0.599 -3.786 -2.680
In Tc Cu Lu
1 1 1 1
Cartesian
0.000 0.000 0.000
0.451 -2.828 0.015
1.354 -8.484 0.045
0.903 -5.656 0.030
```

## Properties
- Offset from the most stable computed form: 0.0000 eV/atom
- SG: F-43m (216)

Which theoretical density belongs to each record? In order, 9.3, 3.2, 5.9, 10.9, 9.4, 10.4 g/cm³.
Which E belongs to each record? In order, -6.405, -2.926, -3.139, -4.719, -3.787, -5.314 eV per atom.